The following is a DFT calculation (PBE) of crystalline TiSnI2O at its relaxed geometry.

Summary:
Its space group is P4/mmm, No. 123. The volume is 26.183 Å³ per atom. The value obtained for the total energy is -4.886 eV/atom. The size of the total moment comes out at 0.18 μB per atom. The density of states at the Fermi level comes out at 3.3 states/eV/f.u.

Unit cell a=5.8891 b=5.8891 c=3.7748 alpha=90.00 beta=90.00 gamma=90.00
Last column: nearest neighbours and their distance in Å.
Fractional positions:
I 0.0000 0.5000 0.0000  2 Ti 2.94
I 0.5000 0.0000 0.0000  2 Ti 2.94
Sn 0.5000 0.5000 0.5000  8 I 3.50, 2 Sn 3.77
O 0.0000 0.0000 0.5000  2 Ti 1.89
Ti 0.0000 0.0000 0.0000  2 O 1.89